## CoSnO3 (GGA+U)

Data for crystalline CoSnO3 at its relaxed geometry.

Computed properties:
Total energy, Ry per atom: -0.404
Symmetry: Pm-3m

a = 4.0012 Å, b = 4.0012 Å, c = 4.0012 Å
α = 90.00°, β = 90.00°, γ = 90.00°
With the nearest neighbours (Å) after each atom.
Positions (direct):
O1 0.5000 0.0000 0.5000  2 Sn 2.00
O2 0.5000 0.5000 0.0000  2 Sn 2.00
O3 0.0000 0.5000 0.5000  2 Sn 2.00
Co1 0.0000 0.0000 0.0000  12 O 2.83
Sn1 0.5000 0.5000 0.5000  6 O 2.00